i) {
  "formula": "CdP3Cl",
  "functional": "PBE",
  "state": "optimized geometry",
  "lattice": [[5.078, 0.000, 0.000], [0.000, 5.078, 0.000], [0.000, 0.000, 5.078]],
  "species": ["Cd", "P", "P", "P", "Cl"],
  "frac_coords": [[0.000, 0.000, 0.000], [0.000, 0.000, 0.500], [0.000, 0.500, 0.000], [0.500, 0.000, 0.000], [0.500, 0.500, 0.500]],
  "spacegroup": "Pm-3m (221)",
  "n_ef_per_ev_atom": 0.824
}

***

ii) {
  "formula": "CdP3Cl",
  "functional": "PBE",
  "state": "optimized geometry",
  "lattice": [[4.670, 0.000, 0.000], [0.000, 4.670, 0.000], [0.000, 0.000, 4.670]],
  "species": ["Cd", "P", "P", "P", "Cl"],
  "frac_coords": [[0.000, 0.000, 0.000], [0.000, 0.500, 0.500], [0.500, 0.000, 0.500], [0.500, 0.500, 0.000], [0.500, 0.500, 0.500]],
  "spacegroup": "Pm-3m (221)",
  "n_ef_per_ev_atom": 0.837
}

***

ii) comes first in stability; the runner-up is 119 meV per atom higher.

***

i) {
  "formula": "Cd4P2Cl5",
  "functional": "PBE",
  "state": "optimized geometry",
  "lattice": [[-1.874, 3.593, 11.695], [1.874, -3.593, 11.695], [1.874, 3.593, -11.695]],
  "species": ["Cd", "Cd", "Cd", "Cd", "P", "P", "Cl", "Cl", "Cl", "Cl", "Cl"],
  "frac_coords": [[0.225, 0.500, 0.725], [0.226, 0.226, 0.000], [0.774, 0.774, 0.000], [0.775, 0.500, 0.275], [0.049, 0.049, 0.000], [0.951, 0.951, 0.000], [0.052, 0.312, 0.739], [0.427, 0.688, 0.739], [0.500, 0.000, 0.500], [0.573, 0.312, 0.261], [0.948, 0.688, 0.261]],
  "spacegroup": "Immm (71)",
  "n_ef_per_ev_atom": 0.115
}

***

ii) {
  "formula": "Cd4P2Cl5",
  "functional": "PBE",
  "state": "optimized geometry",
  "lattice": [[9.694, -1.952, 0.000], [9.694, 1.952, 0.000], [-0.419, 0.000, 8.638]],
  "species": ["Cd", "Cd", "Cd", "Cd", "P", "P", "Cl", "Cl", "Cl", "Cl", "Cl"],
  "frac_coords": [[0.005, 0.005, 0.262], [0.336, 0.336, 0.954], [0.664, 0.664, 0.046], [0.995, 0.995, 0.738], [0.462, 0.462, 0.083], [0.538, 0.538, 0.917], [0.138, 0.138, 0.261], [0.206, 0.206, 0.850], [0.500, 0.500, 0.500], [0.794, 0.794, 0.150], [0.862, 0.862, 0.739]],
  "spacegroup": "C2/m (12)",
  "n_ef_per_ev_atom": 0.239
}

***

ii) comes first in stability; the runner-up is 218 meV per atom higher.

***

i) {
  "formula": "CdPCl3",
  "functional": "PBE",
  "state": "optimized geometry",
  "lattice": [[5.186, 0.000, 0.000], [0.000, 5.186, 0.000], [0.000, 0.000, 5.186]],
  "species": ["Cd", "P", "Cl", "Cl", "Cl"],
  "frac_coords": [[0.000, 0.000, 0.000], [0.500, 0.500, 0.500], [0.000, 0.000, 0.500], [0.000, 0.500, 0.000], [0.500, 0.000, 0.000]],
  "spacegroup": "Pm-3m (221)",
  "n_ef_per_ev_atom": 1.590
}

***

ii) {
  "formula": "CdPCl3",
  "functional": "PBE",
  "state": "optimized geometry",
  "lattice": [[4.919, 0.000, 0.000], [0.000, 4.919, 0.000], [0.000, 0.000, 4.919]],
  "species": ["Cd", "P", "Cl", "Cl", "Cl"],
  "frac_coords": [[0.000, 0.000, 0.000], [0.500, 0.500, 0.500], [0.000, 0.500, 0.500], [0.500, 0.000, 0.500], [0.500, 0.500, 0.000]],
  "spacegroup": "Pm-3m (221)",
  "n_ef_per_ev_atom": 0.937
}

***

ii) comes first in stability; the runner-up is 234 meV per atom higher.

***

i) {
  "formula": "CdP4Cl",
  "functional": "PBE",
  "state": "optimized geometry",
  "lattice": [[5.794, 0.000, 0.000], [1.445, 7.733, 0.000], [0.733, 3.127, 7.536]],
  "species": ["Cd", "Cd", "P", "P", "P", "P", "P", "P", "P", "P", "Cl", "Cl"],
  "frac_coords": [[0.078, 0.469, 0.228], [0.922, 0.531, 0.772], [0.303, 0.608, 0.573], [0.326, 0.046, 0.662], [0.351, 0.907, 0.480], [0.395, 0.611, 0.303], [0.605, 0.389, 0.697], [0.649, 0.093, 0.520], [0.674, 0.954, 0.338], [0.697, 0.392, 0.427], [0.156, 0.268, 0.044], [0.844, 0.732, 0.956]],
  "spacegroup": "P-1 (2)"
}

***

ii) {
  "formula": "CdP4Cl",
  "functional": "PBE",
  "state": "optimized geometry",
  "lattice": [[4.692, 0.000, 0.000], [2.250, 8.437, 0.000], [0.615, 2.497, 8.607]],
  "species": ["Cd", "Cd", "P", "P", "P", "P", "P", "P", "P", "P", "Cl", "Cl"],
  "frac_coords": [[0.074, 0.200, 0.010], [0.926, 0.800, 0.990], [0.170, 0.331, 0.224], [0.236, 0.476, 0.757], [0.384, 0.531, 0.101], [0.425, 0.606, 0.535], [0.575, 0.394, 0.465], [0.616, 0.469, 0.899], [0.764, 0.524, 0.243], [0.830, 0.669, 0.776], [0.257, 0.003, 0.844], [0.743, 0.997, 0.156]],
  "spacegroup": "P-1 (2)"
}

***

ii) comes first in stability; the runner-up is 57 meV per atom higher.

***

i) {
  "formula": "CdP2PtCl",
  "functional": "PBE",
  "state": "optimized geometry",
  "lattice": [[4.972, 0.000, 0.000], [0.000, 4.972, 0.000], [0.000, 0.000, 4.859]],
  "species": ["Cd", "P", "P", "Pt", "Cl"],
  "frac_coords": [[0.000, 0.000, 0.000], [0.000, 0.500, 0.000], [0.500, 0.000, 0.000], [0.500, 0.500, 0.500], [0.000, 0.000, 0.500]],
  "spacegroup": "P4/mmm (123)",
  "n_ef_per_ev_atom": 0.874
}

***

ii) {
  "formula": "CdP2PtCl",
  "functional": "PBE",
  "state": "optimized geometry",
  "lattice": [[4.657, 0.000, 0.000], [0.000, 4.657, 0.000], [0.000, 0.000, 5.209]],
  "species": ["Cd", "P", "P", "Pt", "Cl"],
  "frac_coords": [[0.000, 0.000, 0.000], [0.000, 0.500, 0.500], [0.500, 0.000, 0.500], [0.500, 0.500, 0.500], [0.500, 0.500, 0.000]],
  "spacegroup": "P4/mmm (123)",
  "n_ef_per_ev_atom": 0.848
}

***

ii) comes first in stability; the runner-up is 887 meV per atom higher.

***

i) {
  "formula": "CdRePCl2",
  "functional": "PBE",
  "state": "optimized geometry",
  "lattice": [[4.957, 0.000, 0.000], [0.000, 4.957, 0.000], [0.000, 0.000, 5.439]],
  "species": ["Cd", "Re", "P", "Cl", "Cl"],
  "frac_coords": [[0.000, 0.000, 0.000], [0.500, 0.500, 0.500], [0.000, 0.000, 0.500], [0.000, 0.500, 0.000], [0.500, 0.000, 0.000]],
  "spacegroup": "P4/mmm (123)",
  "n_ef_per_ev_atom": 0.384
}

***

ii) {
  "formula": "CdRePCl2",
  "functional": "PBE",
  "state": "optimized geometry",
  "lattice": [[4.937, 0.000, 0.000], [0.000, 4.937, 0.000], [0.000, 0.000, 4.651]],
  "species": ["Cd", "Re", "P", "Cl", "Cl"],
  "frac_coords": [[0.000, 0.000, 0.000], [0.500, 0.500, 0.500], [0.500, 0.500, 0.000], [0.000, 0.500, 0.500], [0.500, 0.000, 0.500]],
  "spacegroup": "P4/mmm (123)",
  "n_ef_per_ev_atom": 0.414
}

***

ii) comes first in stability; the runner-up is 906 meV per atom higher.

***

i) {
  "formula": "CdP2RuCl",
  "functional": "PBE",
  "state": "optimized geometry",
  "lattice": [[4.930, 0.000, 0.000], [0.000, 4.930, 0.000], [0.000, 0.000, 5.082]],
  "species": ["Cd", "P", "P", "Ru", "Cl"],
  "frac_coords": [[0.000, 0.000, 0.000], [0.000, 0.500, 0.000], [0.500, 0.000, 0.000], [0.500, 0.500, 0.500], [0.000, 0.000, 0.500]],
  "spacegroup": "P4/mmm (123)",
  "n_ef_per_ev_atom": 1.013
}

***

ii) {
  "formula": "CdP2RuCl",
  "functional": "PBE",
  "state": "optimized geometry",
  "lattice": [[4.542, 0.000, 0.000], [0.000, 4.542, 0.000], [0.000, 0.000, 5.180]],
  "species": ["Cd", "P", "P", "Ru", "Cl"],
  "frac_coords": [[0.000, 0.000, 0.000], [0.000, 0.500, 0.500], [0.500, 0.000, 0.500], [0.500, 0.500, 0.500], [0.500, 0.500, 0.000]],
  "spacegroup": "P4/mmm (123)",
  "n_ef_per_ev_atom": 1.001
}

***

ii) comes first in stability; the runner-up is 1200 meV per atom higher.

***

i) {
  "formula": "CdPSCl2",
  "functional": "PBE",
  "state": "optimized geometry",
  "lattice": [[4.775, 0.000, 0.000], [0.000, 4.775, 0.000], [0.000, 0.000, 4.765]],
  "species": ["Cd", "P", "S", "Cl", "Cl"],
  "frac_coords": [[0.000, 0.000, 0.000], [0.500, 0.500, 0.500], [0.500, 0.500, 0.000], [0.000, 0.500, 0.500], [0.500, 0.000, 0.500]],
  "spacegroup": "P4/mmm (123)",
  "n_ef_per_ev_atom": 0.215
}

***

ii) {
  "formula": "CdPSCl2",
  "functional": "PBE",
  "state": "optimized geometry",
  "lattice": [[4.777, 0.000, 0.000], [0.000, 4.777, 0.000], [0.000, 0.000, 4.896]],
  "species": ["Cd", "P", "S", "Cl", "Cl"],
  "frac_coords": [[0.000, 0.000, 0.000], [0.500, 0.500, 0.000], [0.500, 0.500, 0.500], [0.000, 0.500, 0.500], [0.500, 0.000, 0.500]],
  "spacegroup": "P4/mmm (123)",
  "n_ef_per_ev_atom": 0.719
}

***

iii) {
  "formula": "CdPSCl2",
  "functional": "PBE",
  "state": "optimized geometry",
  "lattice": [[4.931, 0.000, 0.000], [0.000, 4.931, 0.000], [0.000, 0.000, 5.536]],
  "species": ["Cd", "P", "S", "Cl", "Cl"],
  "frac_coords": [[0.000, 0.000, 0.000], [0.000, 0.000, 0.500], [0.500, 0.500, 0.500], [0.000, 0.500, 0.000], [0.500, 0.000, 0.000]],
  "spacegroup": "P4/mmm (123)",
  "n_ef_per_ev_atom": 0.492
}

***

iv) {
  "formula": "CdPSCl2",
  "functional": "PBE",
  "state": "optimized geometry",
  "lattice": [[5.023, 0.000, 0.000], [0.000, 5.023, 0.000], [0.000, 0.000, 5.398]],
  "species": ["Cd", "P", "S", "Cl", "Cl"],
  "frac_coords": [[0.000, 0.000, 0.000], [0.500, 0.500, 0.500], [0.000, 0.000, 0.500], [0.000, 0.500, 0.000], [0.500, 0.000, 0.000]],
  "spacegroup": "P4/mmm (123)",
  "n_ef_per_ev_atom": 0.698
}

***

i) comes first in stability; the runner-up is 423 meV per atom higher.

***

i) {
  "formula": "CdPS2Cl",
  "functional": "PBE",
  "state": "optimized geometry",
  "lattice": [[4.669, 0.000, 0.000], [0.000, 4.669, 0.000], [0.000, 0.000, 4.806]],
  "species": ["Cd", "P", "S", "S", "Cl"],
  "frac_coords": [[0.000, 0.000, 0.000], [0.500, 0.500, 0.000], [0.000, 0.500, 0.500], [0.500, 0.000, 0.500], [0.500, 0.500, 0.500]],
  "spacegroup": "P4/mmm (123)",
  "n_ef_per_ev_atom": 1.298
}

***

ii) {
  "formula": "CdPS2Cl",
  "functional": "PBE",
  "state": "optimized geometry",
  "lattice": [[4.657, 0.000, 0.000], [0.000, 4.657, 0.000], [0.000, 0.000, 4.651]],
  "species": ["Cd", "P", "S", "S", "Cl"],
  "frac_coords": [[0.000, 0.000, 0.000], [0.500, 0.500, 0.500], [0.000, 0.500, 0.500], [0.500, 0.000, 0.500], [0.500, 0.500, 0.000]],
  "spacegroup": "P4/mmm (123)",
  "n_ef_per_ev_atom": 0.772
}

***

iii) {
  "formula": "CdPS2Cl",
  "functional": "PBE",
  "state": "optimized geometry",
  "lattice": [[4.869, 0.000, 0.000], [0.000, 4.869, 0.000], [0.000, 0.000, 5.382]],
  "species": ["Cd", "P", "S", "S", "Cl"],
  "frac_coords": [[0.000, 0.000, 0.000], [0.000, 0.000, 0.500], [0.000, 0.500, 0.000], [0.500, 0.000, 0.000], [0.500, 0.500, 0.500]],
  "spacegroup": "P4/mmm (123)",
  "n_ef_per_ev_atom": 1.310
}

***

ii) comes first in stability; the runner-up is 917 meV per atom higher.

***

i) {
  "formula": "ScCdP2Cl",
  "functional": "PBE",
  "state": "optimized geometry",
  "lattice": [[4.894, 0.000, 0.000], [0.000, 4.894, 0.000], [0.000, 0.000, 5.100]],
  "species": ["Sc", "Cd", "P", "P", "Cl"],
  "frac_coords": [[0.000, 0.000, 0.000], [0.500, 0.500, 0.500], [0.000, 0.500, 0.500], [0.500, 0.000, 0.500], [0.500, 0.500, 0.000]],
  "spacegroup": "P4/mmm (123)",
  "n_ef_per_ev_atom": 0.526
}

***

ii) {
  "formula": "ScCdP2Cl",
  "functional": "PBE",
  "state": "optimized geometry",
  "lattice": [[5.066, 0.000, 0.000], [0.000, 5.066, 0.000], [0.000, 0.000, 4.854]],
  "species": ["Sc", "Cd", "P", "P", "Cl"],
  "frac_coords": [[0.000, 0.000, 0.000], [0.500, 0.500, 0.500], [0.000, 0.500, 0.000], [0.500, 0.000, 0.000], [0.000, 0.000, 0.500]],
  "spacegroup": "P4/mmm (123)",
  "n_ef_per_ev_atom": 0.902
}

***

ii) comes first in stability; the runner-up is 485 meV per atom higher.

***

i) {
  "formula": "CdPSeCl2",
  "functional": "PBE",
  "state": "optimized geometry",
  "lattice": [[4.459, 0.000, 0.000], [0.000, 4.760, 0.000], [0.000, 0.000, 7.498]],
  "species": ["Cd", "P", "Se", "Cl", "Cl"],
  "frac_coords": [[0.000, 0.000, 0.000], [0.500, 0.000, 0.500], [0.000, 0.500, 0.500], [0.000, 0.000, 0.500], [0.500, 0.500, 0.000]],
  "spacegroup": "Pmmm (47)",
  "n_ef_per_ev_atom": 0.743
}

***

ii) {
  "formula": "CdPSeCl2",
  "functional": "PBE",
  "state": "optimized geometry",
  "lattice": [[4.978, 0.000, 0.000], [0.000, 4.978, 0.000], [0.000, 0.000, 5.548]],
  "species": ["Cd", "P", "Se", "Cl", "Cl"],
  "frac_coords": [[0.000, 0.000, 0.000], [0.000, 0.000, 0.500], [0.500, 0.500, 0.500], [0.000, 0.500, 0.000], [0.500, 0.000, 0.000]],
  "spacegroup": "P4/mmm (123)",
  "n_ef_per_ev_atom": 0.509
}

***

iii) {
  "formula": "CdPSeCl2",
  "functional": "PBE",
  "state": "optimized geometry",
  "lattice": [[4.866, 0.000, 0.000], [0.000, 4.866, 0.000], [0.000, 0.000, 5.291]],
  "species": ["Cd", "P", "Se", "Cl", "Cl"],
  "frac_coords": [[0.000, 0.000, 0.000], [0.500, 0.500, 0.000], [0.500, 0.500, 0.500], [0.000, 0.500, 0.500], [0.500, 0.000, 0.500]],
  "spacegroup": "P4/mmm (123)",
  "n_ef_per_ev_atom": 0.447
}

***

iii) comes first in stability; the runner-up is 80 meV per atom higher.